# AlAgO3 (PBE, relaxed)
data_AlAgO3
_chemical_formula_sum 'Al4 Ag4 O12'
_cell_length_a 5.2218
_cell_length_b 8.5876
_cell_length_c 4.9125
_cell_angle_alpha 90.00
_cell_angle_beta 90.00
_cell_angle_gamma 90.00
_symmetry_space_group_name_H-M 'P 1'
_symmetry_Int_Tables_number 1
loop_
_symmetry_equiv_pos_as_xyz
'x,y,z'
loop_
_atom_site_label
_atom_site_type_symbol
_atom_site_fract_x
_atom_site_fract_y
_atom_site_fract_z
Al1 Al 0.0493 0.2500 0.0355
Al2 Al 0.4507 0.7500 0.5355
Al3 Al 0.5493 0.2500 0.4645
Al4 Al 0.9507 0.7500 0.9645
Ag1 Ag 0.0000 0.0000 0.5000
Ag2 Ag 0.0000 0.5000 0.5000
Ag3 Ag 0.5000 0.0000 0.0000
Ag4 Ag 0.5000 0.5000 0.0000
O1 O 0.1745 0.0914 0.8369
O2 O 0.1745 0.4086 0.8369
O3 O 0.2457 0.2500 0.3232
O4 O 0.2543 0.7500 0.8232
O5 O 0.3255 0.5914 0.3369
O6 O 0.3255 0.9086 0.3369
O7 O 0.6745 0.0914 0.6631
O8 O 0.6745 0.4086 0.6631
O9 O 0.7457 0.2500 0.1768
O10 O 0.7543 0.7500 0.6768
O11 O 0.8255 0.5914 0.1631
O12 O 0.8255 0.9086 0.1631
# VASP energy	-5.57	eV per atom
# space group	No. 62

# AlAgO3 (PBE, relaxed)
data_AlAgO3
_chemical_formula_sum 'Al3 Ag3 O9'
_cell_length_a 5.2555
_cell_length_b 5.2555
_cell_length_c 6.4225
_cell_angle_alpha 90.00
_cell_angle_beta 90.00
_cell_angle_gamma 120.00
_symmetry_space_group_name_H-M 'P 1'
_symmetry_Int_Tables_number 1
loop_
_symmetry_equiv_pos_as_xyz
'x,y,z'
loop_
_atom_site_label
_atom_site_type_symbol
_atom_site_fract_x
_atom_site_fract_y
_atom_site_fract_z
Al1 Al 0.0000 0.0000 0.0000
Al2 Al 0.3333 0.6667 0.6667
Al3 Al 0.6667 0.3333 0.3333
Ag1 Ag 0.0000 0.0000 0.5000
Ag2 Ag 0.3333 0.6667 0.1667
Ag3 Ag 0.6667 0.3333 0.8333
O1 O 0.0000 0.5000 0.5000
O2 O 0.1667 0.3333 0.8333
O3 O 0.1667 0.8333 0.8333
O4 O 0.3333 0.1667 0.1667
O5 O 0.5000 0.0000 0.5000
O6 O 0.5000 0.5000 0.5000
O7 O 0.6667 0.8333 0.8333
O8 O 0.8333 0.1667 0.1667
O9 O 0.8333 0.6667 0.1667
# VASP energy	-5.43	eV per atom
# space group	No. 166

# AlAgO3 (PBE, relaxed)
data_AlAgO3
_chemical_formula_sum 'Al2 Ag2 O6'
_cell_length_a 5.1769
_cell_length_b 5.1769
_cell_length_c 5.1769
_cell_angle_alpha 60.71
_cell_angle_beta 60.71
_cell_angle_gamma 60.71
_symmetry_space_group_name_H-M 'P 1'
_symmetry_Int_Tables_number 1
loop_
_symmetry_equiv_pos_as_xyz
'x,y,z'
loop_
_atom_site_label
_atom_site_type_symbol
_atom_site_fract_x
_atom_site_fract_y
_atom_site_fract_z
Al1 Al 0.0000 0.0000 0.0000
Al2 Al 0.5000 0.5000 0.5000
Ag1 Ag 0.2500 0.2500 0.2500
Ag2 Ag 0.7500 0.7500 0.7500
O1 O 0.1665 0.7500 0.3335
O2 O 0.2500 0.6665 0.8335
O3 O 0.3335 0.1665 0.7500
O4 O 0.6665 0.8335 0.2500
O5 O 0.7500 0.3335 0.1665
O6 O 0.8335 0.2500 0.6665
# VASP energy	-5.48	eV per atom
# space group	No. 167